No. 1
This record from the Alexandria database describes As2Pt2I at its PBEsol-relaxed geometry. The functional is meta-GGA SCAN.

The energy above the most stable polymorph in this dataset is 0 meV/atom. Its crystal system is tetragonal. For the raw total energy, the calculation gives -1.60891 hartree per atom.

The structure belongs to space group I4/mmm (No. 139); the cell edges are 3.848, 3.848 and 14.972 Å and the angles 90.00°, 90.00° and 90.00°. The asymmetric unit holds As at (0.000, 0.000, 0.141), Pt at (0.000, 0.500, 0.250) and I at (0.000, 0.000, 0.500).

=====

No. 2
This record from the Alexandria database describes RbSbAsI2 at its PBEsol-relaxed geometry. The functional is meta-GGA SCAN.

Its crystal system is tetragonal. For the raw total energy, the calculation gives -1.12449 hartree per atom.

The structure belongs to space group P4/mmm (No. 123); the cell edges are 5.936, 5.936 and 5.347 Å and the angles 90.00°, 90.00° and 90.00°. The asymmetric unit holds Rb at (0.000, 0.000, 0.000), Sb at (0.500, 0.500, 0.000), As at (0.500, 0.500, 0.500) and I at (0.000, 0.500, 0.500).

=====

No. 3
This record from the Alexandria database describes RbSb2AsI at its PBEsol-relaxed geometry. The functional is meta-GGA SCAN.

Its crystal system is tetragonal. For the raw total energy, the calculation gives -1.07442 hartree per atom.

The structure belongs to space group P4/mmm (No. 123); the cell edges are 7.821, 7.821 and 6.702 Å and the angles 90.00°, 90.00° and 90.00°. The asymmetric unit holds Rb at (0.000, 0.000, 0.000), Sb at (0.000, 0.500, 0.000), As at (0.500, 0.500, 0.500) and I at (0.000, 0.000, 0.500).

=====

No. 4
This record from the Alexandria database describes RbAs2SeI at its PBEsol-relaxed geometry. The functional is meta-GGA SCAN.

Its crystal system is tetragonal. For the raw total energy, the calculation gives -0.84869 hartree per atom.

The structure belongs to space group P4/mmm (No. 123); the cell edges are 5.403, 5.403 and 5.557 Å and the angles 90.00°, 90.00° and 90.00°. The asymmetric unit holds Rb at (0.000, 0.000, 0.000), As at (0.000, 0.500, 0.500), Se at (0.500, 0.500, 0.000) and I at (0.500, 0.500, 0.500).

=====

No. 5
This record from the Alexandria database describes ReAs2I at its PBEsol-relaxed geometry. The functional is meta-GGA SCAN.

Its crystal system is tetragonal. For the raw total energy, the calculation gives -1.34122 hartree per atom.

The structure belongs to space group I-42d (No. 122); the cell edges are 6.616, 6.616 and 10.257 Å and the angles 90.00°, 90.00° and 90.00°. The asymmetric unit holds Re at (0.000, 0.000, 0.000), As at (0.155, 0.750, 0.125) and I at (0.000, 0.000, 0.500).

=====

No. 6
This record from the Alexandria database describes ReSb2AsI at its PBEsol-relaxed geometry. The functional is meta-GGA SCAN.

Its crystal system is tetragonal. For the raw total energy, the calculation gives -1.45285 hartree per atom.

The structure belongs to space group P4/mmm (No. 123); the cell edges are 5.018, 5.018 and 5.515 Å and the angles 90.00°, 90.00° and 90.00°. The asymmetric unit holds Re at (0.000, 0.000, 0.000), Sb at (0.000, 0.500, 0.000), As at (0.500, 0.500, 0.500) and I at (0.000, 0.000, 0.500).

=====

No. 7
This record from the Alexandria database describes ReAs2SeI at its PBEsol-relaxed geometry. The functional is meta-GGA SCAN.

Its crystal system is tetragonal. For the raw total energy, the calculation gives -1.21786 hartree per atom.

The structure belongs to space group P4/mmm (No. 123); the cell edges are 4.881, 4.881 and 4.764 Å and the angles 90.00°, 90.00° and 90.00°. The asymmetric unit holds Re at (0.000, 0.000, 0.000), As at (0.000, 0.500, 0.000), Se at (0.000, 0.000, 0.500) and I at (0.500, 0.500, 0.500).

=====

No. 8
This record from the Alexandria database describes AsRuI2 at its PBEsol-relaxed geometry. The functional is meta-GGA SCAN.

Its crystal system is tetragonal. For the raw total energy, the calculation gives -1.17284 hartree per atom.

The structure belongs to space group I-42d (No. 122); the cell edges are 9.936, 9.936 and 4.628 Å and the angles 90.00°, 90.00° and 90.00°. The asymmetric unit holds As at (0.000, 0.000, 0.000), Ru at (0.000, 0.000, 0.500) and I at (0.099, 0.250, 0.625).

=====

No. 9
This record from the Alexandria database describes AsS24I3 at its PBEsol-relaxed geometry. The functional is meta-GGA SCAN.

Its crystal system is trigonal. For the raw total energy, the calculation gives -0.47526 hartree per atom.

The structure belongs to space group R3m (No. 160, hexagonal axes); the cell edges are 24.3489, 24.3489 and 4.3770 Å and the angles 90.00°, 90.00° and 120.00°. The asymmetric unit holds As at (0.0000, 0.0000, 0.0000), S at (0.0366, 0.4503, 0.9761), S at (0.0717, 0.5358, 0.1971), S at (0.0893, 0.3728, 0.5526), S at (0.1588, 0.4547, 0.3508), S at (0.1817, 0.0908, 0.9172) and I at (0.0542, 0.1084, 0.2813).

=====

No. 10
This record from the Alexandria database describes SbAs3I at its PBEsol-relaxed geometry. The functional is meta-GGA SCAN.

Its crystal system is cubic. For the raw total energy, the calculation gives -0.93954 hartree per atom.

The structure belongs to space group Pm-3m (No. 221); the cell edges are 5.248, 5.248 and 5.248 Å and the angles 90.00°, 90.00° and 90.00°. The asymmetric unit holds Sb at (0.000, 0.000, 0.000), As at (0.000, 0.500, 0.500) and I at (0.500, 0.500, 0.500).

=====

No. 11
This record from the Alexandria database describes SnSbAsI2 at its PBEsol-relaxed geometry. The functional is meta-GGA SCAN.

Its crystal system is tetragonal. For the raw total energy, the calculation gives -1.21005 hartree per atom.

The structure belongs to space group P4/mmm (No. 123); the cell edges are 5.484, 5.484 and 5.500 Å and the angles 90.00°, 90.00° and 90.00°. The asymmetric unit holds Sn at (0.000, 0.000, 0.000), Sb at (0.500, 0.500, 0.000), As at (0.500, 0.500, 0.500) and I at (0.000, 0.500, 0.500).

=====

No. 12
This record from the Alexandria database describes TlSbAsI2 at its PBEsol-relaxed geometry. The functional is meta-GGA SCAN.

Its crystal system is tetragonal. For the raw total energy, the calculation gives -1.46588 hartree per atom.

The structure belongs to space group P4/mmm (No. 123); the cell edges are 5.829, 5.829 and 5.860 Å and the angles 90.00°, 90.00° and 90.00°. The asymmetric unit holds Tl at (0.000, 0.000, 0.000), Sb at (0.000, 0.000, 0.500), As at (0.500, 0.500, 0.500) and I at (0.000, 0.500, 0.000).

=====

No. 13
This record from the Alexandria database describes Sc3AsI at its PBEsol-relaxed geometry. The functional is meta-GGA SCAN.

The energy above the most stable polymorph in this dataset is 0 meV/atom. Its crystal system is cubic. For the raw total energy, the calculation gives -0.74372 hartree per atom.

The structure belongs to space group Pm-3m (No. 221); the cell edges are 5.062, 5.062 and 5.062 Å and the angles 90.00°, 90.00° and 90.00°. The asymmetric unit holds Sc at (0.000, 0.000, 0.500), As at (0.000, 0.000, 0.000) and I at (0.500, 0.500, 0.500).

=====

No. 14
This record from the Alexandria database describes ScAsI3 at its PBEsol-relaxed geometry. The functional is meta-GGA SCAN.

Its crystal system is cubic. For the raw total energy, the calculation gives -1.05658 hartree per atom.

The structure belongs to space group Pm-3m (No. 221); the cell edges are 5.590, 5.590 and 5.590 Å and the angles 90.00°, 90.00° and 90.00°. The asymmetric unit holds Sc at (0.000, 0.000, 0.000), As at (0.500, 0.500, 0.500) and I at (0.000, 0.500, 0.500).

=====

No. 15
This record from the Alexandria database describes ScAs2SeI at its PBEsol-relaxed geometry. The functional is meta-GGA SCAN.

Its crystal system is tetragonal. For the raw total energy, the calculation gives -0.78998 hartree per atom.

The structure belongs to space group P4/mmm (No. 123); the cell edges are 5.192, 5.192 and 5.222 Å and the angles 90.00°, 90.00° and 90.00°. The asymmetric unit holds Sc at (0.000, 0.000, 0.000), As at (0.000, 0.500, 0.500), Se at (0.500, 0.500, 0.000) and I at (0.500, 0.500, 0.500).

=====

No. 16
This record from the Alexandria database describes AsSeI2 at its PBEsol-relaxed geometry. The functional is meta-GGA SCAN.

Its crystal system is tetragonal. For the raw total energy, the calculation gives -1.02353 hartree per atom.

The structure belongs to space group I-42d (No. 122); the cell edges are 7.863, 7.863 and 7.714 Å and the angles 90.00°, 90.00° and 90.00°. The asymmetric unit holds As at (0.000, 0.000, 0.000), Se at (0.000, 0.000, 0.500) and I at (0.231, 0.250, 0.125).

=====

No. 17
This record from the Alexandria database describes TcAs2SeI at its PBEsol-relaxed geometry. The functional is meta-GGA SCAN.

Its crystal system is tetragonal. For the raw total energy, the calculation gives -0.95747 hartree per atom.

The structure belongs to space group P4/mmm (No. 123); the cell edges are 4.887, 4.887 and 4.712 Å and the angles 90.00°, 90.00° and 90.00°. The asymmetric unit holds Tc at (0.000, 0.000, 0.000), As at (0.000, 0.500, 0.000), Se at (0.000, 0.000, 0.500) and I at (0.500, 0.500, 0.500).

=====

No. 18
This record from the Alexandria database describes As2WSeI at its PBEsol-relaxed geometry. The functional is meta-GGA SCAN.

Its crystal system is tetragonal. For the raw total energy, the calculation gives -1.14629 hartree per atom.

The structure belongs to space group P4/mmm (No. 123); the cell edges are 5.178, 5.178 and 5.153 Å and the angles 90.00°, 90.00° and 90.00°. The asymmetric unit holds As at (0.000, 0.500, 0.000), W at (0.000, 0.000, 0.500), Se at (0.500, 0.500, 0.500) and I at (0.500, 0.500, 0.000).

=====

No. 19
This record from the Alexandria database describes ZnAsSe2I at its PBEsol-relaxed geometry. The functional is meta-GGA SCAN.

Its crystal system is tetragonal. For the raw total energy, the calculation gives -0.77200 hartree per atom.

The structure belongs to space group P4/mmm (No. 123); the cell edges are 5.336, 5.336 and 5.303 Å and the angles 90.00°, 90.00° and 90.00°. The asymmetric unit holds Zn at (0.000, 0.000, 0.000), As at (0.500, 0.500, 0.000), Se at (0.000, 0.500, 0.500) and I at (0.500, 0.500, 0.500).

=====

No. 20
This record from the Alexandria database describes TaAsI2 at its PBEsol-relaxed geometry. The functional is meta-GGA SCAN.

Its crystal system is cubic. For the raw total energy, the calculation gives -1.43717 hartree per atom.

The structure belongs to space group Fm-3m (No. 225); the cell edges are 6.997, 6.997 and 6.997 Å and the angles 90.00°, 90.00° and 90.00°. The asymmetric unit holds Ta at (0.000, 0.000, 0.000), As at (0.000, 0.000, 0.500) and I at (0.250, 0.250, 0.250).

=====

Number 1: uncorrected formation energy -26.92 kJ/mol of atoms. Number 2: uncorrected formation energy -25.48 kJ/mol of atoms. Number 3: uncorrected formation energy 116.00 kJ/mol of atoms. Number 4: uncorrected formation energy 47.68 kJ/mol of atoms. Number 5: uncorrected formation energy 53.89 kJ/mol of atoms. Number 6: uncorrected formation energy 94.17 kJ/mol of atoms. Number 7: uncorrected formation energy 50.18 kJ/mol of atoms. Number 8: uncorrected formation energy 20.31 kJ/mol of atoms. Number 9: uncorrected formation energy -2.15 kJ/mol of atoms. Number 10: uncorrected formation energy 130.13 kJ/mol of atoms. Number 11: uncorrected formation energy 42.85 kJ/mol of atoms. Number 12: uncorrected formation energy 74.30 kJ/mol of atoms. Number 13: uncorrected formation energy -29.81 kJ/mol of atoms. Number 14: uncorrected formation energy 17.31 kJ/mol of atoms. Number 15: uncorrected formation energy 76.33 kJ/mol of atoms. Number 16: uncorrected formation energy 56.57 kJ/mol of atoms. Number 17: uncorrected formation energy 38.41 kJ/mol of atoms. Number 18: uncorrected formation energy 210.89 kJ/mol of atoms. Number 19: uncorrected formation energy 107.44 kJ/mol of atoms. Number 20: uncorrected formation energy 92.33 kJ/mol of atoms.